ScAsSe2: optimized geometry, PBE.

energy relative to the elements, uncorrected = -778 meV/atom
theoretical density = 4.53 Mg/m³
calculated volume = 25.46 Å³/atom

a = 3.7424 Å, b = 3.7424 Å, c = 25.1851 Å
α = 90.00°, β = 90.00°, γ = 120.00°
Last column: nearest neighbours and their distance in Å.
Space group R-3m (No. 166, hexagonal axes)
One atom of each set of equivalent atoms:
Sc: 0.0000 0.0000 0.0000 [3 per cell]  6 Se 2.68
As: 0.0000 0.0000 0.5000 [3 per cell]  2 Se 2.61
Se: 0.0000 0.0000 0.3962 [6 per cell]  1 As 2.61, 3 Sc 2.68


KCaH3: optimized geometry, PBE.

theoretical density = 1.85 Mg/m³
calculated volume = 14.79 Å³/atom
energy = -2.93 eV per atom

a = 4.2105 Å, b = 4.2105 Å, c = 9.6319 Å
α = 90.00°, β = 90.00°, γ = 120.00°
Last column: nearest neighbours and their distance in Å.
Space group P6_3/mmc (No. 194)
One atom of each set of equivalent atoms:
K: 0.3333 0.6667 0.2500 [2 per cell]  3 H 2.43
Ca: 0.0000 0.0000 0.0000 [2 per cell]  8 H 2.41-2.49
H: 0.0000 0.0000 0.2500 [2 per cell]  2 Ca 2.41, 3 K 2.43
H: 0.3333 0.6667 0.5552 [4 per cell]  3 Ca 2.49, 3 H 2.65


calculated volume of number 1 (ScAsSe2)? 25.46 Å³/atom